A geometry-optimized HfSc2ZnAs structure, computed with PBE.

The calculation puts the calculated formation energy at 0.9364 eV/atom. Its crystal system is tetragonal. The value obtained for the electronic total energy is -4.772 eV/atom. For the density of states at the Fermi level, the calculation gives 5.63 states/eV per cell.

The structure belongs to space group P4/mmm (No. 123); the cell edges are 5.1750, 5.1750 and 4.9677 Å and the angles 90.00°, 90.00° and 90.00°. The inequivalent atoms are Hf at (0.0000, 0.0000, 0.0000), Sc at (0.0000, 0.5000, 0.0000), Zn at (0.0000, 0.0000, 0.5000) and As at (0.5000, 0.5000, 0.5000).